(1)
Crystalline NbCrP2O at its relaxed geometry, computed with GGA+U.

Cell and atoms, written as POSCAR:
```
NbCrP2O
1.0
4.957 0.000 0.000
0.000 4.957 0.000
0.000 0.000 3.872
Nb Cr P O
1 1 2 1
Cartesian
0.000 0.000 0.000
2.479 2.479 1.936
0.000 2.479 0.000
2.479 0.000 0.000
0.000 0.000 1.936
```

* E: -34.87 eV/cell
* total magnetization: 0.738 μB per atom
* relative energy among the computed polymorphs: 0 meV/atom
* theoretical density: 3.889 Mg/m³



(2)
Crystalline NbCrPO2 at its relaxed geometry, computed with GGA+U.

Cell and atoms, written as POSCAR:
```
NbCrPO2
1.0
3.896 0.000 0.000
0.000 3.896 0.000
0.000 0.000 5.335
Nb Cr P O
1 1 1 2
Cartesian
0.000 0.000 0.000
1.948 1.948 2.668
0.000 0.000 2.668
0.000 1.948 0.000
1.948 0.000 0.000
```

* E: -39.10 eV/cell
* total magnetization: 0.797 μB per atom
* relative energy among the computed polymorphs: 0 meV/atom
* theoretical density: 4.263 Mg/m³



Which of these has the lowest E?
NbCrPO2